VASP calculation (GGA-PBE) on an optimized crystal structure of LaSmErTl.

Properties
Crystal system: cubic
Calculated formation energy (eV/f.u.): -0.05
Magnetization (μB/f.u.): 0.108
Symmetry: F-43m (216)

abc: 5.5200 5.5200 5.5200
angles: 60.00 60.00 60.00
Fractional coordinates of all 4 atoms:
1 La 0.0000 0.0000 0.0000
2 Sm 0.2500 0.2500 0.2500
3 Er 0.7500 0.7500 0.7500
4 Tl 0.5000 0.5000 0.5000